{
  "formula": "Zr2ReSb",
  "functional": "PBE-GGA",
  "state": "relaxed",
  "lattice_angstrom": [[5.956, 0.000, 0.000], [0.000, 7.936, 0.000], [0.000, 0.000, 3.369]],
  "species": ["Zr", "Zr", "Zr", "Zr", "Re", "Re", "Sb", "Sb"],
  "fractional_positions": [[0.250, 0.250, 0.000], [0.250, 0.750, 0.000], [0.750, 0.250, 0.000], [0.750, 0.750, 0.000], [0.000, 0.000, 0.500], [0.500, 0.500, 0.500], [0.000, 0.500, 0.500], [0.500, 0.000, 0.500]],
  "density_kg_m3": 10229,
  "spacegroup": "Cmmm",
  "magnetic_moment_mub_per_cell": 0.0
}

{
  "formula": "ZrReSb2",
  "functional": "PBE-GGA",
  "state": "relaxed",
  "lattice_angstrom": [[4.355, 0.000, 0.000], [0.000, 4.355, 0.000], [0.000, 0.000, 8.654]],
  "species": ["Zr", "Zr", "Re", "Re", "Sb", "Sb", "Sb", "Sb"],
  "fractional_positions": [[0.000, 0.000, 0.000], [0.500, 0.500, 0.500], [0.000, 0.500, 0.750], [0.500, 0.000, 0.250], [0.000, 0.000, 0.500], [0.000, 0.500, 0.250], [0.500, 0.000, 0.750], [0.500, 0.500, 0.000]],
  "density_kg_m3": 10543,
  "spacegroup": "I-4m2",
  "e_above_lowest_polymorph_mev_per_atom": 309,
  "magnetic_moment_mub_per_cell": 0.0
}

{
  "formula": "Zr2ReSb",
  "functional": "PBE-GGA",
  "state": "relaxed",
  "lattice_angstrom": [[7.727, 0.000, 0.000], [0.000, 7.727, 0.000], [0.000, 0.000, 5.908]],
  "species": ["Zr", "Zr", "Zr", "Zr", "Zr", "Zr", "Zr", "Zr", "Re", "Re", "Re", "Re", "Sb", "Sb", "Sb", "Sb"],
  "fractional_positions": [[0.210, 0.250, 0.125], [0.250, 0.710, 0.375], [0.250, 0.790, 0.875], [0.290, 0.250, 0.625], [0.710, 0.750, 0.625], [0.750, 0.210, 0.875], [0.750, 0.290, 0.375], [0.790, 0.750, 0.125], [0.000, 0.000, 0.000], [0.000, 0.500, 0.250], [0.500, 0.000, 0.750], [0.500, 0.500, 0.500], [0.000, 0.000, 0.500], [0.000, 0.500, 0.750], [0.500, 0.000, 0.250], [0.500, 0.500, 0.000]],
  "density_kg_m3": 9235,
  "spacegroup": "I-42d",
  "magnetic_moment_mub_per_cell": 0.0
}

{
  "formula": "ZrReSb2",
  "functional": "PBE-GGA",
  "state": "relaxed",
  "lattice_angstrom": [[3.348, 0.000, 0.000], [0.000, 4.503, 0.000], [0.000, 0.000, 13.401]],
  "species": ["Zr", "Zr", "Re", "Re", "Sb", "Sb", "Sb", "Sb"],
  "fractional_positions": [[0.000, 0.000, 0.000], [0.500, 0.500, 0.500], [0.000, 0.000, 0.500], [0.500, 0.500, 0.000], [0.000, 0.500, 0.163], [0.000, 0.500, 0.837], [0.500, 0.000, 0.337], [0.500, 0.000, 0.663]],
  "density_kg_m3": 8563,
  "spacegroup": "Immm",
  "e_above_lowest_polymorph_mev_per_atom": 89,
  "magnetic_moment_mub_per_cell": 0.0
}

{
  "formula": "Zr2ReSb",
  "functional": "PBE-GGA",
  "state": "relaxed",
  "lattice_angstrom": [[4.558, 0.000, 0.000], [0.000, 4.558, 0.000], [0.000, 0.000, 3.829]],
  "species": ["Zr", "Zr", "Re", "Sb"],
  "fractional_positions": [[0.000, 0.500, 0.000], [0.500, 0.000, 0.000], [0.000, 0.000, 0.500], [0.500, 0.500, 0.500]],
  "density_kg_m3": 10235,
  "spacegroup": "P4/mmm",
  "magnetic_moment_mub_per_cell": 0.0
}

{
  "formula": "ZrReSb2",
  "functional": "PBE-GGA",
  "state": "relaxed",
  "lattice_angstrom": [[3.243, 0.000, 0.000], [-1.621, 2.808, 0.000], [0.000, 0.000, 27.166]],
  "species": ["Zr", "Zr", "Zr", "Re", "Re", "Re", "Sb", "Sb", "Sb", "Sb", "Sb", "Sb"],
  "fractional_positions": [[0.000, 0.000, 0.000], [0.333, 0.667, 0.667], [0.667, 0.333, 0.333], [0.000, 0.000, 0.500], [0.333, 0.667, 0.167], [0.667, 0.333, 0.833], [0.000, 0.000, 0.242], [0.000, 0.000, 0.758], [0.333, 0.667, 0.425], [0.333, 0.667, 0.908], [0.667, 0.333, 0.092], [0.667, 0.333, 0.575]],
  "density_kg_m3": 10491,
  "spacegroup": "R-3m",
  "e_above_lowest_polymorph_mev_per_atom": 298,
  "magnetic_moment_mub_per_cell": 0.0
}

{
  "formula": "Zr2ReSb",
  "functional": "PBE-GGA",
  "state": "relaxed",
  "lattice_angstrom": [[4.460, 0.000, 0.000], [0.000, 3.510, 0.000], [0.000, 0.000, 10.642]],
  "species": ["Zr", "Zr", "Zr", "Zr", "Re", "Re", "Sb", "Sb"],
  "fractional_positions": [[0.000, 0.000, 0.000], [0.000, 0.500, 0.500], [0.500, 0.000, 0.298], [0.500, 0.500, 0.798], [0.500, 0.000, 0.549], [0.500, 0.500, 0.049], [0.000, 0.000, 0.723], [0.000, 0.500, 0.223]],
  "density_kg_m3": 9778,
  "spacegroup": "Amm2",
  "magnetic_moment_mub_per_cell": 0.0
}

{
  "formula": "Zr2ReSb",
  "functional": "PBE-GGA",
  "state": "relaxed",
  "lattice_angstrom": [[3.250, 0.000, 0.000], [-1.625, 2.815, 0.000], [0.000, 0.000, 27.738]],
  "species": ["Zr", "Zr", "Zr", "Zr", "Zr", "Zr", "Re", "Re", "Re", "Sb", "Sb", "Sb"],
  "fractional_positions": [[0.000, 0.000, 0.000], [0.000, 0.000, 0.240], [0.333, 0.667, 0.667], [0.333, 0.667, 0.907], [0.667, 0.333, 0.333], [0.667, 0.333, 0.574], [0.000, 0.000, 0.742], [0.333, 0.667, 0.408], [0.667, 0.333, 0.075], [0.000, 0.000, 0.482], [0.333, 0.667, 0.149], [0.667, 0.333, 0.815]],
  "density_kg_m3": 9627,
  "spacegroup": "R3m",
  "magnetic_moment_mub_per_cell": 0.0
}

One value per record, in order, for calculated total energy: -0.6355, -0.5205, -0.6017, -0.5367, -0.6338, -0.5213, -0.6422, -0.6058 Ry/atom.